Record 1
Computed, not measured: an optimized crystal structure of TlInHgS at the GGA-PBE level of DFT.

## Properties
Calculated volume (Å³ per atom): 27.106
Calculated density (Mg/m³): 8.45
D(E_F) (states/eV/cell): 1.2
Uncorrected energy (eV per atom): -2.465

Cell lengths 7.569, 7.569, 7.569 Å; angles 90.00, 90.00, 90.00 degrees
Space group F-43m (No. 216)
Unique sites:
1 Tl 0.000 0.000 0.000 [4 per cell]
2 In 0.000 0.000 0.500 [4 per cell]
3 Hg 0.250 0.250 0.750 [4 per cell]
4 S 0.250 0.250 0.250 [4 per cell]

---

Record 2
Computed, not measured: an optimized crystal structure of In3Hg2Sb at the GGA-PBE level of DFT.

## Properties
Calculated volume (Å³ per atom): 28.688
Calculated density (Mg/m³): 8.37
D(E_F) (states/eV/cell): 7.1
Uncorrected energy (eV per atom): -2.148

Cell lengths 6.858, 12.819, 8.278 Å; angles 90.00, 108.91, 90.00 degrees
Space group C2/c (No. 15)
Unique sites:
1 In 0.245 0.084 0.495 [8 per cell]
2 In 0.250 0.250 0.000 [4 per cell]
3 Hg 0.000 0.084 0.750 [4 per cell]
4 Hg 0.000 0.254 0.250 [4 per cell]
5 Sb 0.000 0.424 0.750 [4 per cell]

---

Record 3
Computed, not measured: an optimized crystal structure of InHgSb at the GGA-PBE level of DFT.

## Properties
Calculated volume (Å³ per atom): 27.206
Calculated density (Mg/m³): 8.89
D(E_F) (states/eV/cell): 1.6
Uncorrected energy (eV per atom): -2.311

Cell lengths 5.3137, 5.3137, 3.3377 Å; angles 90.00, 90.00, 120.00 degrees
Space group P3m1 (No. 156)
Unique sites:
1 In 0.0000 0.0000 0.0000 [1 per cell]
2 Hg 0.3333 0.6667 0.5027 [1 per cell]
3 Sb 0.6667 0.3333 0.4958 [1 per cell]

---

Record 4
Computed, not measured: an optimized crystal structure of In3Hg12Sb5 at the GGA-PBE level of DFT.

## Properties
Calculated volume (Å³ per atom): 31.363
Calculated density (Mg/m³): 8.90
D(E_F) (states/eV/cell): 44.5
Uncorrected energy (eV per atom): -1.507

Cell lengths 17.120, 17.120, 17.120 Å; angles 90.00, 90.00, 90.00 degrees
Space group Ia-3d (No. 230)
Unique sites:
1 In 0.000 0.250 0.125 [24 per cell]
2 Hg 0.026 0.084 0.649 [96 per cell]
3 Sb 0.000 0.000 0.000 [16 per cell]
4 Sb 0.000 0.250 0.375 [24 per cell]

---

Q: Look up the D(E_F) of the third one.
A: 1.6 states/eV/cell

---

Q: Among the records above, which one has the lowest uncorrected energy?
A: TlInHgS